Record 1
# NdErInRu

A relaxed NdErInRu crystal (GGA-PBE, the Alexandria database).

Unit cell a=7.2505 b=7.2505 c=7.2505 alpha=90.00 beta=90.00 gamma=90.00
Space group F-43m (No. 216)
Inequivalent atoms, fractional coordinates:
1 Nd 0.0000 0.0000 0.0000
2 Er 0.0000 0.0000 0.5000
3 In 0.2500 0.2500 0.2500
4 Ru 0.2500 0.2500 0.7500

Calculated values
- DOS at the Fermi energy: 10.0 states/eV per cell
- Calculated volume: 381.2 Å³/cell
- Energy relative to the elements: -0.27 eV/atom

Record 2
# AcCe2Tm

A relaxed AcCe2Tm crystal (GGA-PBE, the Alexandria database).

Unit cell a=3.6219 b=3.6219 c=10.1542 alpha=90.00 beta=90.00 gamma=90.00
Space group P4/mmm (No. 123)
Inequivalent atoms, fractional coordinates:
1 Ac 0.0000 0.0000 0.0000
2 Ce 0.5000 0.5000 0.2637
3 Tm 0.0000 0.0000 0.5000

Calculated values
- DOS at the Fermi energy: 11.4 states/eV per cell
- Energy above the lowest structure with this stoichiometry: 0.0130 eV/atom
- Calculated volume: 133.2 Å³/cell
- Energy relative to the elements: 0.16 eV/atom

Record 3
# HfMo2H6

A relaxed HfMo2H6 crystal (GGA-PBE, the Alexandria database).

Unit cell a=9.5156 b=3.3646 c=6.5319 alpha=90.00 beta=129.75 gamma=90.00
Space group C2/m (No. 12)
Inequivalent atoms, fractional coordinates:
1 Hf 0.0000 0.0000 0.0000
2 Mo 0.1727 0.0000 0.6059
3 H 0.0510 0.0000 0.7416
4 H 0.1408 0.5000 0.0402
5 H 0.2394 0.0000 0.3820

Calculated values
- DOS at the Fermi energy: 3.8 states/eV per cell
- Uncorrected energy: -103.90 eV/cell
- Calculated volume: 160.8 Å³/cell

Record 4
# Bi3SbPt

A relaxed Bi3SbPt crystal (GGA-PBE, the Alexandria database).

Unit cell a=10.6003 b=8.7886 c=7.3687 alpha=90.00 beta=121.17 gamma=90.00
Space group C2/m (No. 12)
Inequivalent atoms, fractional coordinates:
1 Bi 0.0242 0.0000 0.2263
2 Bi 0.1833 0.2666 0.7211
3 Sb 0.0886 0.5000 0.2651
4 Pt 0.2035 0.5000 0.0077

Calculated values
- DOS at the Fermi energy: 8.7 states/eV per cell
- Energy above the lowest structure with this stoichiometry: 0.0000 eV/atom
- Raw formation energy: -100.6 meV per atom
- Calculated volume: 587.4 Å³/cell

Record 5
# NdSmI3

A relaxed NdSmI3 crystal (GGA-PBE, the Alexandria database).

Unit cell a=19.8822 b=4.1975 c=12.4612 alpha=90.00 beta=124.37 gamma=90.00
Space group C2/m (No. 12)
Inequivalent atoms, fractional coordinates:
1 Nd 0.1344 0.0000 0.2803
2 Sm 0.0697 0.5000 0.9600
3 I 0.0352 0.0000 0.7436
4 I 0.1646 0.5000 0.5048
5 I 0.2150 0.0000 0.1215

Calculated values
- DOS at the Fermi energy: 1.6 states/eV per cell
- Energy above the lowest structure with this stoichiometry: 0.0000 eV/atom
- Raw formation energy: -1127.1 meV per atom
- Calculated volume: 858.4 Å³/cell

Record 6
# V2ZnCrTe

A relaxed V2ZnCrTe crystal (GGA-PBE, the Alexandria database).

Unit cell a=4.9022 b=4.9022 c=4.9172 alpha=90.00 beta=90.00 gamma=90.00
Space group P4/mmm (No. 123)
Inequivalent atoms, fractional coordinates:
1 V 0.0000 0.5000 0.0000
2 Zn 0.0000 0.0000 0.5000
3 Cr 0.5000 0.5000 0.5000
4 Te 0.0000 0.0000 0.0000

Calculated values
- DOS at the Fermi energy: 10.8 states/eV per cell
- Raw formation energy: 1824.1 meV per atom
- Calculated volume: 118.2 Å³/cell

Record 7
# AlCrGePb2

A relaxed AlCrGePb2 crystal (GGA-PBE, the Alexandria database).

Unit cell a=5.5735 b=5.5735 c=4.6332 alpha=90.00 beta=90.00 gamma=90.00
Space group P4/mmm (No. 123)
Inequivalent atoms, fractional coordinates:
1 Al 0.0000 0.0000 0.0000
2 Cr 0.5000 0.5000 0.0000
3 Ge 0.0000 0.0000 0.5000
4 Pb 0.0000 0.5000 0.5000

Calculated values
- DOS at the Fermi energy: 8.2 states/eV per cell
- Calculated volume: 143.9 Å³/cell
- Energy relative to the elements: 1.40 eV/atom

Record 8
# Al2Cu2Au

A relaxed Al2Cu2Au crystal (GGA-PBE, the Alexandria database).

Unit cell a=7.8613 b=4.0859 c=5.5089 alpha=90.00 beta=125.66 gamma=90.00
Space group C2/m (No. 12)
Inequivalent atoms, fractional coordinates:
1 Al 0.0951 0.0000 0.2943
2 Cu 0.1943 0.5000 0.1000
3 Au 0.0000 0.5000 0.5000

Calculated values
- DOS at the Fermi energy: 1.9 states/eV per cell
- Energy above the lowest structure with this stoichiometry: 0.0000 eV/atom
- Calculated volume: 143.8 Å³/cell
- Energy relative to the elements: -0.21 eV/atom

Record 9
# MnTeOs

A relaxed MnTeOs crystal (GGA-PBE, the Alexandria database).

Unit cell a=6.1015 b=6.1015 c=6.1015 alpha=90.00 beta=90.00 gamma=90.00
Space group F-43m (No. 216)
Inequivalent atoms, fractional coordinates:
1 Mn 0.0000 0.0000 0.0000
2 Te 0.0000 0.0000 0.5000
3 Os 0.2500 0.2500 0.2500

Calculated values
- DOS at the Fermi energy: 2.8 states/eV per cell
- Energy above the lowest structure with this stoichiometry: 0.0000 eV/atom
- Raw formation energy: 240.4 meV per atom
- Calculated volume: 227.1 Å³/cell

Record 10
# Ac2ErTe2N2

A relaxed Ac2ErTe2N2 crystal (GGA-PBE, the Alexandria database).

Unit cell a=4.5347 b=4.5347 c=17.0946 alpha=90.00 beta=90.00 gamma=90.00
Space group I4/mmm (No. 139)
Inequivalent atoms, fractional coordinates:
1 Ac 0.0000 0.0000 0.1045
2 Er 0.0000 0.0000 0.5000
3 Te 0.0000 0.0000 0.3182
4 N 0.0000 0.5000 0.0000

Calculated values
- DOS at the Fermi energy: 7.2 states/eV per cell
- Raw formation energy: -1353.6 meV per atom
- Calculated volume: 351.5 Å³/cell

Record 11
# LaGa4Rh2

A relaxed LaGa4Rh2 crystal (GGA-PBE, the Alexandria database).

Unit cell a=17.3134 b=4.4221 c=6.6271 alpha=90.00 beta=90.00 gamma=90.00
Space group Pnma (No. 62)
Inequivalent atoms, fractional coordinates:
1 La 0.1383 0.2500 0.0020
2 Ga 0.0349 0.7500 0.8305
3 Ga 0.0689 0.2500 0.4892
4 Ga 0.1876 0.7500 0.3072
5 Ga 0.1893 0.7500 0.7070
6 Rh 0.0371 0.7500 0.2474
7 Rh 0.2139 0.2500 0.5072

Calculated values
- DOS at the Fermi energy: 15.8 states/eV per cell
- Calculated volume: 507.4 Å³/cell
- Energy relative to the elements: -0.68 eV/atom

Record 12
# LaMoSN2

A relaxed LaMoSN2 crystal (GGA-PBE, the Alexandria database).

Unit cell a=4.1705 b=4.1705 c=5.9115 alpha=90.00 beta=90.00 gamma=90.00
Space group P4/mmm (No. 123)
Inequivalent atoms, fractional coordinates:
1 La 0.0000 0.0000 0.0000
2 Mo 0.5000 0.5000 0.5000
3 S 0.0000 0.0000 0.5000
4 N 0.0000 0.5000 0.0000

Calculated values
- DOS at the Fermi energy: 3.7 states/eV per cell
- Energy above the lowest structure with this stoichiometry: 1.8991 eV/atom
- Raw formation energy: 1160.7 meV per atom
- Calculated volume: 102.8 Å³/cell